[1]
Compound: ThMgIn
Source: the Alexandria database
Functional: GGA-PBE
Structure: relaxed

Cell: 4.512 4.512 8.027 Å, 90.00 90.00 90.00°
Space group P4/nmm (No. 129, origin choice 2)
Symmetry-distinct sites (fractional):
Th1 0.250 0.250 0.144 (multiplicity 2)
Mg1 0.250 0.750 0.500 (multiplicity 2)
In1 0.250 0.250 0.741 (multiplicity 2)

Values from the calculation:
D(E_F) in states/eV/cell: 5.877
Crystal system: tetragonal
ΔE_f in meV per atom: -202.1

***

[2]
Compound: ScPa2O8
Source: the Alexandria database
Functional: GGA-PBE
Structure: relaxed

Cell: 10.705 4.046 6.789 Å, 90.00 114.37 90.00°
Space group C2/m (No. 12)
Symmetry-distinct sites (fractional):
Sc1 0.000 0.000 0.000 (multiplicity 2)
Pa1 0.196 0.000 0.686 (multiplicity 4)
O1 0.005 0.000 0.687 (multiplicity 4)
O2 0.040 0.500 0.116 (multiplicity 4)
O3 0.179 0.500 0.505 (multiplicity 4)
O4 0.216 0.000 0.097 (multiplicity 4)

Values from the calculation:
D(E_F) in states/eV/cell: 12.544
Crystal system: monoclinic
Formation energy (no corrections) in kcal/mol of atoms: -64.80

***

[3]
Compound: P2RhF
Source: the Alexandria database
Functional: GGA-PBE
Structure: relaxed

Cell: 5.205 5.205 11.199 Å, 90.00 90.00 90.00°
Space group I-42d (No. 122)
Symmetry-distinct sites (fractional):
P1 0.217 0.250 0.125 (multiplicity 8)
Rh1 0.000 0.000 0.000 (multiplicity 4)
F1 0.000 0.000 0.500 (multiplicity 4)

Values from the calculation:
D(E_F) in states/eV/cell: 2.807
Crystal system: tetragonal
Formation energy (no corrections) in kcal/mol of atoms: -6.00

***

[4]
Compound: ZnCd4Re
Source: the Alexandria database
Functional: GGA-PBE
Structure: relaxed

Cell: 7.850 7.850 7.850 Å, 90.00 90.00 90.00°
Space group F-43m (No. 216)
Symmetry-distinct sites (fractional):
Zn1 0.000 0.000 0.000 (multiplicity 4)
Cd1 0.125 0.125 0.625 (multiplicity 16)
Re1 0.250 0.250 0.250 (multiplicity 4)

Values from the calculation:
D(E_F) in states/eV/cell: 19.974
Crystal system: cubic
ΔE_f in meV per atom: 807.2

***

[5]
Compound: Cd2ReSb
Source: the Alexandria database
Functional: GGA-PBE
Structure: relaxed

Cell: 10.578 10.578 5.054 Å, 90.00 90.00 90.00°
Space group I-42d (No. 122)
Symmetry-distinct sites (fractional):
Cd1 0.002 0.250 0.125 (multiplicity 8)
Re1 0.000 0.000 0.000 (multiplicity 4)
Sb1 0.000 0.000 0.500 (multiplicity 4)

Values from the calculation:
D(E_F) in states/eV/cell: 9.189
Crystal system: tetragonal
Formation energy (no corrections) in kcal/mol of atoms: 16.64

***

[6]
Compound: NaCd2SbH
Source: the Alexandria database
Functional: GGA-PBE
Structure: relaxed

Cell: 4.666 4.666 4.595 Å, 90.00 90.00 90.00°
Space group P4/mmm (No. 123)
Symmetry-distinct sites (fractional):
Na1 0.000 0.000 0.000 (multiplicity 1)
Cd1 0.000 0.500 0.500 (multiplicity 2)
Sb1 0.500 0.500 0.000 (multiplicity 1)
H1 0.000 0.000 0.500 (multiplicity 1)

Values from the calculation:
D(E_F) in states/eV/cell: 1.574
Crystal system: tetragonal
Electronic total energy in eV/atom: -2.109